1.
The following is a DFT calculation (PBE) of crystalline TbIr2Rh3 at its relaxed geometry.

- E: -7.71 eV per atom
- Space group: No. 166
- D(E_F): 13.0 states/eV per cell

Lattice parameters (Å, degrees): 7.6783 7.6783 7.6783 42.92 42.92 42.92
With the nearest neighbours (Å) after each atom.
Fractional positions:
1 Tb 0.2178 0.2178 0.2178  9 Rh 2.82-2.87, 3 Ir 2.91
2 Tb 0.7822 0.7822 0.7822  9 Rh 2.82-2.87, 3 Ir 2.91
3 Ir 0.0000 0.0000 0.0000  6 Rh 2.76, 6 Ir 2.81
4 Ir 0.0000 0.5000 0.5000  4 Rh 2.73, 6 Ir 2.81, 2 Tb 2.91
5 Ir 0.5000 0.0000 0.5000  4 Rh 2.73, 6 Ir 2.81, 2 Tb 2.91
6 Ir 0.5000 0.5000 0.0000  4 Rh 2.73, 6 Ir 2.81, 2 Tb 2.91
7 Rh 0.2353 0.7235 0.7235  3 Ir 2.73-2.76, 6 Rh 2.74-2.99, 3 Tb 2.82-2.87
8 Rh 0.2765 0.2765 0.7647  3 Ir 2.73-2.76, 6 Rh 2.74-2.99, 3 Tb 2.82-2.87
9 Rh 0.2765 0.7647 0.2765  3 Ir 2.73-2.76, 6 Rh 2.74-2.99, 3 Tb 2.82-2.87
10 Rh 0.7235 0.2353 0.7235  3 Ir 2.73-2.76, 6 Rh 2.74-2.99, 3 Tb 2.82-2.87
11 Rh 0.7235 0.7235 0.2353  3 Ir 2.73-2.76, 6 Rh 2.74-2.99, 3 Tb 2.82-2.87
12 Rh 0.7647 0.2765 0.2765  3 Ir 2.73-2.76, 6 Rh 2.74-2.99, 3 Tb 2.82-2.87

=====

2.
The following is a DFT calculation (PBE) of crystalline Tm2NbOs at its relaxed geometry.

- E: -7.05 eV per atom
- Space group: No. 166
- D(E_F): 4.5 states/eV per cell

Lattice parameters (Å, degrees): 10.3849 10.3849 10.3849 17.50 17.50 17.50
With the nearest neighbours (Å) after each atom.
Fractional positions:
1 Tm 0.0974 0.0974 0.0974  3 Os 2.80, 1 Nb 2.99
2 Tm 0.9026 0.9026 0.9026  3 Os 2.80, 1 Nb 2.99
3 Nb 0.0000 0.0000 0.0000  2 Tm 2.99, 6 Nb 3.16
4 Os 0.5000 0.5000 0.5000  6 Tm 2.80

=====

3.
The following is a DFT calculation (PBE) of crystalline PuCdSnAu at its relaxed geometry.

- E: -5.91 eV per atom
- Space group: No. 216
- D(E_F): 11.8 states/eV per cell

Lattice parameters (Å, degrees): 5.1008 5.1008 5.1008 60.00 60.00 60.00
With the nearest neighbours (Å) after each atom.
Fractional positions:
1 Pu 0.0000 0.0000 0.0000  4 Au 3.12, 4 Sn 3.12
2 Cd 0.5000 0.5000 0.5000  4 Sn 3.12, 4 Au 3.12
3 Sn 0.2500 0.2500 0.2500  4 Cd 3.12, 4 Pu 3.12
4 Au 0.7500 0.7500 0.7500  4 Cd 3.12, 4 Pu 3.12

=====

4.
The following is a DFT calculation (PBE) of crystalline EuScCu2 at its relaxed geometry.

- E: -6.27 eV per atom
- Polymorph energy (0 for the lowest one): 0.099 eV/atom
- Space group: No. 225
- D(E_F): 5.7 states/eV per cell

Lattice parameters (Å, degrees): 4.8639 4.8639 4.8639 60.00 60.00 60.00
With the nearest neighbours (Å) after each atom.
Fractional positions:
1 Eu 0.0000 0.0000 0.0000  8 Cu 2.98
2 Sc 0.5000 0.5000 0.5000  8 Cu 2.98
3 Cu 0.2500 0.2500 0.2500  4 Sc 2.98, 4 Eu 2.98
4 Cu 0.7500 0.7500 0.7500  4 Sc 2.98, 4 Eu 2.98

=====

5.
The following is a DFT calculation (PBE) of crystalline ZrAgPd14 at its relaxed geometry.

- E: -5.46 eV per atom
- Space group: No. 123
- D(E_F): 28.0 states/eV per cell

Lattice parameters (Å, degrees): 5.6585 5.6585 7.9151 90.00 90.00 90.00
With the nearest neighbours (Å) after each atom.
Fractional positions:
1 Zr 0.0000 0.0000 0.0000  12 Pd 2.81-2.83
2 Ag 0.5000 0.5000 0.0000  12 Pd 2.83
3 Pd 0.0000 0.0000 0.5000  12 Pd 2.80-2.83
4 Pd 0.0000 0.5000 0.0000  8 Pd 2.82, 2 Zr 2.83, 2 Ag 2.83
5 Pd 0.0000 0.5000 0.5000  12 Pd 2.81-2.83
6 Pd 0.2480 0.2480 0.2510  10 Pd 2.80-2.85, 1 Zr 2.81, 1 Ag 2.83
7 Pd 0.2480 0.2480 0.7490  10 Pd 2.80-2.85, 1 Zr 2.81, 1 Ag 2.83
8 Pd 0.2480 0.7520 0.2510  10 Pd 2.80-2.85, 1 Zr 2.81, 1 Ag 2.83
9 Pd 0.2480 0.7520 0.7490  10 Pd 2.80-2.85, 1 Zr 2.81, 1 Ag 2.83
10 Pd 0.5000 0.0000 0.0000  8 Pd 2.82, 2 Zr 2.83, 2 Ag 2.83
11 Pd 0.5000 0.0000 0.5000  12 Pd 2.81-2.83
12 Pd 0.5000 0.5000 0.5000  12 Pd 2.82-2.83
13 Pd 0.7520 0.2480 0.2510  10 Pd 2.80-2.85, 1 Zr 2.81, 1 Ag 2.83
14 Pd 0.7520 0.2480 0.7490  10 Pd 2.80-2.85, 1 Zr 2.81, 1 Ag 2.83
15 Pd 0.7520 0.7520 0.2510  10 Pd 2.80-2.85, 1 Zr 2.81, 1 Ag 2.83
16 Pd 0.7520 0.7520 0.7490  10 Pd 2.80-2.85, 1 Zr 2.81, 1 Ag 2.83

=====

6.
The following is a DFT calculation (PBE) of crystalline Hf3TiTl at its relaxed geometry.

- E: -7.13 eV per atom
- Polymorph energy (0 for the lowest one): 0.848 eV/atom
- Space group: No. 221
- D(E_F): 8.3 states/eV per cell

Lattice parameters (Å, degrees): 4.9632 4.9632 4.9632 90.00 90.00 90.00
With the nearest neighbours (Å) after each atom.
Fractional positions:
1 Hf 0.0000 0.0000 0.5000  2 Ti 2.48
2 Hf 0.0000 0.5000 0.0000  2 Ti 2.48
3 Hf 0.5000 0.0000 0.0000  2 Ti 2.48
4 Ti 0.0000 0.0000 0.0000  6 Hf 2.48
5 Tl 0.5000 0.5000 0.5000  12 Hf 3.51